Entry 1:
VASP calculation (PBE) on an optimized crystal structure of Rb2HfAgI6.

Summary:
Calculated total energy ... -0.121 hartree per atom
Crystal system ... tetragonal
SG ... I4/mmm, No. 139
Formation energy without anion corrections ... -85 kJ/mol of atoms

Geometry as CIF:
```
data_Rb2HfAgI6
_chemical_formula_sum 'Rb2 Hf1 Ag1 I6'
_space_group_name_H-M_alt 'P 1'
_space_group_IT_number 1
_cell_length_a 8.421
_cell_length_b 8.421
_cell_length_c 8.421
_cell_angle_alpha 120.08
_cell_angle_beta 120.08
_cell_angle_gamma 89.85
loop_
_space_group_symop_operation_xyz
'x,y,z'
loop_
_atom_site_label
_atom_site_type_symbol
_atom_site_fract_x
_atom_site_fract_y
_atom_site_fract_z
_atom_site_occupancy
Rb1 Rb 0.250 0.750 0.500 1
Rb2 Rb 0.750 0.250 0.500 1
Hf1 Hf 0.000 0.000 0.000 1
Ag1 Ag 0.500 0.500 0.000 1
I1 I 0.243 0.243 0.000 1
I2 I 0.244 0.244 0.487 1
I3 I 0.244 0.756 0.000 1
I4 I 0.756 0.244 0.000 1
I5 I 0.756 0.756 0.513 1
I6 I 0.757 0.757 0.000 1
```

=====

Entry 2:
VASP calculation (PBE) on an optimized crystal structure of KZnTe2.

Summary:
Calculated total energy ... -0.085 hartree per atom
Crystal system ... monoclinic
SG ... P2/m, No. 10
Formation energy without anion corrections ... -13 kJ/mol of atoms

Geometry as CIF:
```
data_KZnTe2
_chemical_formula_sum 'K1 Zn1 Te2'
_space_group_name_H-M_alt 'P 1'
_space_group_IT_number 1
_cell_length_a 3.281
_cell_length_b 5.539
_cell_length_c 6.569
_cell_angle_alpha 90.00
_cell_angle_beta 90.10
_cell_angle_gamma 90.00
loop_
_space_group_symop_operation_xyz
'x,y,z'
loop_
_atom_site_label
_atom_site_type_symbol
_atom_site_fract_x
_atom_site_fract_y
_atom_site_fract_z
_atom_site_occupancy
K1 K 0.000 0.000 0.000 1
Zn1 Zn 0.000 0.000 0.500 1
Te1 Te 0.499 0.500 0.748 1
Te2 Te 0.501 0.500 0.252 1
```

=====

Entry 3:
VASP calculation (PBE) on an optimized crystal structure of Ti5InIr6.

Summary:
Calculated total energy ... -0.319 hartree per atom
Crystal system ... orthorhombic
SG ... Cmmm, No. 65
Energy of formation from the pure elements ... -0.739 eV per atom

Geometry as CIF:
```
data_Ti5InIr6
_chemical_formula_sum 'Ti5 In1 Ir6'
_space_group_name_H-M_alt 'P 1'
_space_group_IT_number 1
_cell_length_a 6.619
_cell_length_b 6.619
_cell_length_c 7.051
_cell_angle_alpha 90.00
_cell_angle_beta 90.00
_cell_angle_gamma 143.17
loop_
_space_group_symop_operation_xyz
'x,y,z'
loop_
_atom_site_label
_atom_site_type_symbol
_atom_site_fract_x
_atom_site_fract_y
_atom_site_fract_z
_atom_site_occupancy
Ti1 Ti 0.000 0.000 0.000 1
Ti2 Ti 0.329 0.671 0.000 1
Ti3 Ti 0.337 0.663 0.500 1
Ti4 Ti 0.663 0.337 0.500 1
Ti5 Ti 0.671 0.329 0.000 1
In1 In 0.000 0.000 0.500 1
Ir1 Ir 0.171 0.829 0.254 1
Ir2 Ir 0.171 0.829 0.746 1
Ir3 Ir 0.500 0.500 0.231 1
Ir4 Ir 0.500 0.500 0.769 1
Ir5 Ir 0.829 0.171 0.254 1
Ir6 Ir 0.829 0.171 0.746 1
```

=====

Entry 4:
VASP calculation (PBE) on an optimized crystal structure of Ba3Nd2YTe6.

Summary:
Calculated total energy ... -0.182 hartree per atom
Crystal system ... monoclinic
SG ... C2/m, No. 12
Formation energy without anion corrections ... -151 kJ/mol of atoms

Geometry as CIF:
```
data_Ba3Nd2YTe6
_chemical_formula_sum 'Ba3 Nd2 Y1 Te6'
_space_group_name_H-M_alt 'P 1'
_space_group_IT_number 1
_cell_length_a 8.038
_cell_length_b 8.038
_cell_length_c 8.314
_cell_angle_alpha 99.29
_cell_angle_beta 99.29
_cell_angle_gamma 119.91
loop_
_space_group_symop_operation_xyz
'x,y,z'
loop_
_atom_site_label
_atom_site_type_symbol
_atom_site_fract_x
_atom_site_fract_y
_atom_site_fract_z
_atom_site_occupancy
Ba1 Ba 0.000 0.000 0.000 1
Ba2 Ba 0.330 0.670 0.000 1
Ba3 Ba 0.670 0.330 0.000 1
Nd1 Nd 0.166 0.834 0.500 1
Nd2 Nd 0.834 0.166 0.500 1
Y1 Y 0.500 0.500 0.500 1
Te1 Te 0.100 0.427 0.279 1
Te2 Te 0.249 0.249 0.724 1
Te3 Te 0.427 0.100 0.279 1
Te4 Te 0.573 0.900 0.721 1
Te5 Te 0.751 0.751 0.276 1
Te6 Te 0.900 0.573 0.721 1
```

=====

Entry 5:
VASP calculation (PBE) on an optimized crystal structure of K2TbUS4.

Summary:
Calculated total energy ... -0.218 hartree per atom
Crystal system ... monoclinic
SG ... P2/m, No. 10
Formation energy without anion corrections ... -156 kJ/mol of atoms

Geometry as CIF:
```
data_K2TbUS4
_chemical_formula_sum 'K2 Tb1 U1 S4'
_space_group_name_H-M_alt 'P 1'
_space_group_IT_number 1
_cell_length_a 7.039
_cell_length_b 4.065
_cell_length_c 7.762
_cell_angle_alpha 90.00
_cell_angle_beta 107.61
_cell_angle_gamma 90.00
loop_
_space_group_symop_operation_xyz
'x,y,z'
loop_
_atom_site_label
_atom_site_type_symbol
_atom_site_fract_x
_atom_site_fract_y
_atom_site_fract_z
_atom_site_occupancy
K1 K 0.000 0.000 0.000 1
K2 K 0.500 0.500 0.000 1
Tb1 Tb 0.000 0.500 0.500 1
U1 U 0.500 0.000 0.500 1
S1 S 0.235 0.000 0.704 1
S2 S 0.266 0.500 0.297 1
S3 S 0.734 0.500 0.703 1
S4 S 0.765 0.000 0.296 1
```

=====

Entry 6:
VASP calculation (PBE) on an optimized crystal structure of LiLuZnIr.

Summary:
Calculated total energy ... -0.170 hartree per atom
Crystal system ... cubic
SG ... F-43m, No. 216
Energy of formation from the pure elements ... -0.492 eV per atom

Geometry as CIF:
```
data_LiLuZnIr
_chemical_formula_sum 'Li1 Lu1 Zn1 Ir1'
_space_group_name_H-M_alt 'P 1'
_space_group_IT_number 1
_cell_length_a 4.570
_cell_length_b 4.570
_cell_length_c 4.570
_cell_angle_alpha 60.00
_cell_angle_beta 60.00
_cell_angle_gamma 60.00
loop_
_space_group_symop_operation_xyz
'x,y,z'
loop_
_atom_site_label
_atom_site_type_symbol
_atom_site_fract_x
_atom_site_fract_y
_atom_site_fract_z
_atom_site_occupancy
Li1 Li 0.000 0.000 0.000 1
Lu1 Lu 0.750 0.750 0.750 1
Zn1 Zn 0.250 0.250 0.250 1
Ir1 Ir 0.500 0.500 0.500 1
```

=====

Entry 7:
VASP calculation (PBE) on an optimized crystal structure of Ru3Rh.

Summary:
Calculated total energy ... -0.323 hartree per atom
Crystal system ... orthorhombic
SG ... Imm2, No. 44
Energy of formation from the pure elements ... 0.019 eV per atom

Geometry as CIF:
```
data_Ru3Rh
_chemical_formula_sum 'Ru3 Rh1'
_space_group_name_H-M_alt 'P 1'
_space_group_IT_number 1
_cell_length_a 5.114
_cell_length_b 5.114
_cell_length_c 5.114
_cell_angle_alpha 149.07
_cell_angle_beta 64.57
_cell_angle_gamma 124.86
loop_
_space_group_symop_operation_xyz
'x,y,z'
loop_
_atom_site_label
_atom_site_type_symbol
_atom_site_fract_x
_atom_site_fract_y
_atom_site_fract_z
_atom_site_occupancy
Ru1 Ru 0.000 0.000 0.000 1
Ru2 Ru 0.416 0.668 0.748 1
Ru3 Ru 0.920 0.668 0.252 1
Rh1 Rh 0.502 0.002 0.500 1
```

=====

Entry 8:
VASP calculation (PBE) on an optimized crystal structure of Pr3Sm3Mg.

Summary:
Calculated total energy ... -0.157 hartree per atom
Energy relative to the lowest polymorph listed for this composition ... 0.00 eV/f.u.
Crystal system ... hexagonal
SG ... P6_3/m, No. 176
Energy of formation from the pure elements ... 0.028 eV per atom

Geometry as CIF:
```
data_Pr3Sm3Mg
_chemical_formula_sum 'Pr6 Sm6 Mg2'
_space_group_name_H-M_alt 'P 1'
_space_group_IT_number 1
_cell_length_a 9.671
_cell_length_b 9.671
_cell_length_c 5.804
_cell_angle_alpha 90.00
_cell_angle_beta 90.00
_cell_angle_gamma 120.00
loop_
_space_group_symop_operation_xyz
'x,y,z'
loop_
_atom_site_label
_atom_site_type_symbol
_atom_site_fract_x
_atom_site_fract_y
_atom_site_fract_z
_atom_site_occupancy
Pr1 Pr 0.059 0.246 0.250 1
Pr2 Pr 0.188 0.941 0.250 1
Pr3 Pr 0.246 0.188 0.750 1
Pr4 Pr 0.754 0.812 0.250 1
Pr5 Pr 0.812 0.059 0.750 1
Pr6 Pr 0.941 0.754 0.750 1
Sm1 Sm 0.103 0.480 0.750 1
Sm2 Sm 0.377 0.897 0.750 1
Sm3 Sm 0.480 0.377 0.250 1
Sm4 Sm 0.520 0.623 0.750 1
Sm5 Sm 0.623 0.103 0.250 1
Sm6 Sm 0.897 0.520 0.250 1
Mg1 Mg 0.333 0.667 0.250 1
Mg2 Mg 0.667 0.333 0.750 1
```

=====

Entry 9:
VASP calculation (PBE) on an optimized crystal structure of LiThTlIn.

Summary:
Calculated total energy ... -0.139 hartree per atom
Energy relative to the lowest polymorph listed for this composition ... 0.00 eV/f.u.
Crystal system ... orthorhombic
SG ... Pmmm, No. 47
Energy of formation from the pure elements ... -0.178 eV per atom

Geometry as CIF:
```
data_LiThTlIn
_chemical_formula_sum 'Li1 Th1 Tl1 In1'
_space_group_name_H-M_alt 'P 1'
_space_group_IT_number 1
_cell_length_a 4.600
_cell_length_b 4.750
_cell_length_c 4.773
_cell_angle_alpha 90.00
_cell_angle_beta 90.00
_cell_angle_gamma 90.00
loop_
_space_group_symop_operation_xyz
'x,y,z'
loop_
_atom_site_label
_atom_site_type_symbol
_atom_site_fract_x
_atom_site_fract_y
_atom_site_fract_z
_atom_site_occupancy
Li1 Li 0.000 0.000 0.000 1
Th1 Th 0.000 0.500 0.500 1
Tl1 Tl 0.500 0.500 0.000 1
In1 In 0.500 0.000 0.500 1
```

=====

Entry 10:
VASP calculation (PBE) on an optimized crystal structure of KCe2Ho2O7.

Summary:
Calculated total energy ... -0.289 hartree per atom
Crystal system ... orthorhombic
SG ... Imm2, No. 44
Formation energy without anion corrections ... -301 kJ/mol of atoms

Geometry as CIF:
```
data_KCe2Ho2O7
_chemical_formula_sum 'K1 Ce2 Ho2 O7'
_space_group_name_H-M_alt 'P 1'
_space_group_IT_number 1
_cell_length_a 10.358
_cell_length_b 10.358
_cell_length_c 10.358
_cell_angle_alpha 154.45
_cell_angle_beta 36.45
_cell_angle_gamma 154.45
loop_
_space_group_symop_operation_xyz
'x,y,z'
loop_
_atom_site_label
_atom_site_type_symbol
_atom_site_fract_x
_atom_site_fract_y
_atom_site_fract_z
_atom_site_occupancy
K1 K 0.000 0.000 0.000 1
Ce1 Ce 0.394 0.005 0.389 1
Ce2 Ce 0.617 0.005 0.611 1
Ho1 Ho 0.256 0.506 0.750 1
Ho2 Ho 0.755 0.506 0.250 1
O1 O 0.142 0.506 0.636 1
O2 O 0.268 0.006 0.263 1
O3 O 0.370 0.506 0.864 1
O4 O 0.509 0.009 0.500 1
O5 O 0.642 0.506 0.136 1
O6 O 0.743 0.006 0.737 1
O7 O 0.870 0.506 0.364 1
```

=====

Entry 11:
VASP calculation (PBE) on an optimized crystal structure of NaCa2AcHg4.

Summary:
Calculated total energy ... -0.065 hartree per atom
Crystal system ... trigonal
SG ... R-3m, No. 166
Energy of formation from the pure elements ... -0.450 eV per atom

Geometry as CIF:
```
data_NaCa2AcHg4
_chemical_formula_sum 'Na1 Ca2 Ac1 Hg4'
_space_group_name_H-M_alt 'P 1'
_space_group_IT_number 1
_cell_length_a 9.605
_cell_length_b 9.605
_cell_length_c 9.605
_cell_angle_alpha 32.73
_cell_angle_beta 32.73
_cell_angle_gamma 32.73
loop_
_space_group_symop_operation_xyz
'x,y,z'
loop_
_atom_site_label
_atom_site_type_symbol
_atom_site_fract_x
_atom_site_fract_y
_atom_site_fract_z
_atom_site_occupancy
Na1 Na 0.000 0.000 0.000 1
Ca1 Ca 0.256 0.256 0.256 1
Ca2 Ca 0.744 0.744 0.744 1
Ac1 Ac 0.500 0.500 0.500 1
Hg1 Hg 0.120 0.120 0.120 1
Hg2 Hg 0.375 0.375 0.375 1
Hg3 Hg 0.625 0.625 0.625 1
Hg4 Hg 0.880 0.880 0.880 1
```

=====

Entry 12:
VASP calculation (PBE) on an optimized crystal structure of SiH.

Summary:
Calculated total energy ... -0.133 hartree per atom
Energy relative to the lowest polymorph listed for this composition ... 1.52 eV/f.u.
Crystal system ... cubic
SG ... I-43m, No. 217

Geometry as CIF:
```
data_SiH
_chemical_formula_sum 'Si4 H4'
_space_group_name_H-M_alt 'P 1'
_space_group_IT_number 1
_cell_length_a 5.557
_cell_length_b 5.557
_cell_length_c 5.557
_cell_angle_alpha 109.47
_cell_angle_beta 109.47
_cell_angle_gamma 109.47
loop_
_space_group_symop_operation_xyz
'x,y,z'
loop_
_atom_site_label
_atom_site_type_symbol
_atom_site_fract_x
_atom_site_fract_y
_atom_site_fract_z
_atom_site_occupancy
Si1 Si 0.000 0.000 0.298 1
Si2 Si 0.000 0.298 0.000 1
Si3 Si 0.298 0.000 0.000 1
Si4 Si 0.702 0.702 0.702 1
H1 H 0.000 0.000 0.750 1
H2 H 0.000 0.750 0.000 1
H3 H 0.250 0.250 0.250 1
H4 H 0.750 0.000 0.000 1
```

=====

Which of these has the lowest calculated total energy? Ru3Rh

=====

What is the calculated total energy in the first record? -0.121 hartree per atom